A plane-wave DFT calculation with PBE was carried out for a relaxed BaSrCr3 crystal.

Distance to the lowest polymorph of the same formula = 222 meV per atom
SG = No. 221

abc: 5.3838 5.3838 5.3838
angles: 90.00 90.00 90.00
Each line ends with the local moment (μB).
Fractional positions:
Cr: 0.0000 0.0000 0.5000  3.30
Cr: 0.5000 0.0000 0.0000  3.67
Cr: 0.0000 0.5000 0.0000  3.60
Ba: 0.0000 0.0000 0.0000  -0.04
Sr: 0.5000 0.5000 0.5000  -0.04

A plane-wave DFT calculation with PBE was carried out for a relaxed PrDy2Mg2In2 crystal.

SG = No. 166

abc: 5.0250 5.0250 9.3385
angles: 74.39 74.39 60.00
Fractional positions:
Mg: 0.4063 0.4063 0.7811
Mg: 0.5937 0.5937 0.2189
Dy: 0.8694 0.8694 0.3919
Dy: 0.1306 0.1306 0.6081
In: 0.7403 0.7403 0.7791
In: 0.2597 0.2597 0.2209
Pr: 0.0000 0.0000 0.0000

A plane-wave DFT calculation with PBE was carried out for a relaxed Er2Tm3Pd4 crystal.

Distance to the lowest polymorph of the same formula = 0 meV per atom
SG = No. 14

abc: 7.5709 7.5797 7.5674
angles: 90.00 90.00 108.95
Fractional positions:
Tm: 0.2510 0.7588 0.1649
Tm: 0.2490 0.2412 0.6649
Tm: 0.5000 0.5000 0.0000
Tm: 0.0000 0.5000 0.5000
Tm: 0.7510 0.7588 0.3351
Tm: 0.7490 0.2412 0.8351
Pd: 0.1426 0.9124 0.4643
Pd: 0.6426 0.9124 0.0357
Pd: 0.3574 0.0876 0.9643
Pd: 0.3686 0.4941 0.3664
Pd: 0.8686 0.4941 0.1336
Pd: 0.8574 0.0876 0.5357
Pd: 0.1314 0.5059 0.8664
Pd: 0.6314 0.5059 0.6336
Er: 0.4210 0.8060 0.6788
Er: 0.0790 0.1940 0.1788
Er: 0.5790 0.1940 0.3212
Er: 0.9210 0.8060 0.8212

A plane-wave DFT calculation with PBE was carried out for a relaxed PaNi2Pt crystal.

Distance to the lowest polymorph of the same formula = 129 meV per atom
SG = No. 123

abc: 3.8147 4.0987 4.0987
angles: 90.00 90.00 90.00
Fractional positions:
Pa: 0.5000 0.5000 0.5000
Ni: 0.0000 0.0000 0.5000
Ni: 0.0000 0.5000 0.0000
Pt: 0.5000 0.0000 0.0000

A plane-wave DFT calculation with PBE was carried out for a relaxed LiPaIrO5 crystal.

ΔE_f (raw) = -16.89 eV/f.u.
SG = No. 15

abc: 5.6031 5.6031 6.8774
angles: 102.11 102.11 111.51
Fractional positions:
Ir: 0.0000 0.0000 0.5000
Ir: 0.0000 0.0000 0.0000
O: 0.6170 0.7203 0.9555
O: 0.6604 0.0456 0.3741
O: 0.0456 0.6604 0.8741
O: 0.0995 0.9005 0.2500
O: 0.7203 0.6170 0.4555
O: 0.9544 0.3396 0.1259
O: 0.3396 0.9544 0.6259
O: 0.3830 0.2797 0.0445
O: 0.2797 0.3830 0.5445
O: 0.9005 0.0995 0.7500
Li: 0.3088 0.6912 0.7500
Li: 0.6912 0.3088 0.2500
Pa: 0.6358 0.3642 0.7500
Pa: 0.3642 0.6358 0.2500

A plane-wave DFT calculation with PBE was carried out for a relaxed AgTe2Cl crystal.

ΔE_f (raw) = 0.20 eV/f.u.
SG = No. 65

abc: 3.9733 3.9733 7.3088
angles: 90.00 90.00 104.81
Fractional positions:
Ag: 0.5000 0.5000 0.2500
Te: 0.0000 0.0000 0.4446
Te: 0.0000 0.0000 0.0554
Cl: 0.5000 0.5000 0.7500

A plane-wave DFT calculation with PBE was carried out for a relaxed Pm4Dy2Sb3N2 crystal.

ΔE_f (raw) = -12.58 eV/f.u.
SG = No. 139

abc: 4.7599 4.7599 13.2047
angles: 100.38 100.38 90.00
Fractional positions:
Pm: 0.0842 0.5842 0.1683
Pm: 0.9158 0.4158 0.8317
Pm: 0.4158 0.9158 0.8317
Pm: 0.5842 0.0842 0.1683
Sb: 0.8187 0.8187 0.6374
Sb: 0.0000 0.0000 0.0000
Sb: 0.1813 0.1813 0.3626
N: 0.6070 0.6070 0.2140
N: 0.3930 0.3930 0.7860
Dy: 0.6928 0.6928 0.3856
Dy: 0.3072 0.3072 0.6144

A plane-wave DFT calculation with PBE was carried out for a relaxed KIrAu crystal.

Distance to the lowest polymorph of the same formula = 1668 meV per atom
SG = No. 216

abc: 4.7961 4.7961 4.7961
angles: 60.00 60.00 60.00
Each line ends with the local moment (μB).
Fractional positions:
K: 0.7500 0.7500 0.7500  0.01
Ir: 0.5000 0.5000 0.5000  0.91
Au: 0.0000 0.0000 0.0000  0.02

These records have DFT total energy values of -23.3; -24.4; -101.8; -29.1; -123.9; -10.8; -69.8; -7.9 eV for the cell shown, in the order they appear.